# 1
Pm2HoCrN4 | PBE-GGA | relaxed

a = 3.413 Å, b = 6.043 Å, c = 12.091 Å
α = 90.00°, β = 90.00°, γ = 106.40°
Site moments in Bohr magnetons follow the coordinates.
Positions (direct):
Pm  0.367  0.734  0.542  0.03
Pm  0.633  0.266  0.042  0.03
Pm  0.633  0.266  0.458  0.03
Pm  0.367  0.734  0.958  0.03
Ho  0.117  0.235  0.750  0.14
Ho  0.883  0.765  0.250  0.14
Cr  0.842  0.683  0.750  1.82
Cr  0.158  0.317  0.250  1.82
N  0.273  0.546  0.139  -0.01
N  0.727  0.454  0.639  -0.01
N  0.727  0.454  0.861  -0.01
N  0.273  0.546  0.361  -0.01
N  0.000  0.000  0.500  0.02
N  0.000  0.000  0.000  0.02
N  0.426  0.851  0.750  -0.08
N  0.574  0.149  0.250  -0.08

DOS at the Fermi energy = 5.8 states/eV per cell
ΔE_f (raw) = -1049 meV/atom
SG = No. 63
Uncorrected energy = -8.17 eV/atom

# 2
Rb2AlHgF6 | PBE-GGA | relaxed

a = 6.281 Å, b = 6.281 Å, c = 6.280 Å
α = 60.00°, β = 60.00°, γ = 90.00°
Site moments in Bohr magnetons follow the coordinates.
Positions (direct):
F  0.293  0.293  0.415  0.03
F  0.707  0.707  0.585  0.03
F  0.293  0.293  0.000  0.04
F  0.707  0.707  0.000  0.04
F  0.707  0.293  0.000  0.03
F  0.293  0.707  0.000  0.03
Hg  0.000  0.000  0.000  0.39
Rb  0.750  0.250  0.500  0.00
Rb  0.250  0.750  0.500  0.00
Al  0.500  0.500  0.000  0.01

DOS at the Fermi energy = 3.5 states/eV per cell
ΔE_f (raw) = -2718 meV/atom
SG = No. 225
Uncorrected energy = -4.44 eV/atom

# 3
Cd2FeTc | PBE-GGA | relaxed

a = 9.733 Å, b = 9.733 Å, c = 9.733 Å
α = 16.86°, β = 16.86°, γ = 16.86°
Site moments in Bohr magnetons follow the coordinates.
Positions (direct):
Cd  0.007  0.007  0.007  0.00
Cd  0.240  0.240  0.240  -0.01
Fe  0.492  0.492  0.492  2.03
Tc  0.761  0.761  0.761  -0.26

DOS at the Fermi energy = 4.2 states/eV per cell
SG = No. 160
E_form = 0.279 eV per atom
Uncorrected energy = -4.89 eV/atom

# 4
PmZnHg | PBE-GGA | relaxed

a = 3.488 Å, b = 3.488 Å, c = 6.276 Å
α = 106.14°, β = 106.14°, γ = 90.00°
Positions (direct):
Zn  0.939  0.939  0.878
Hg  0.300  0.300  0.600
Pm  0.611  0.611  0.222

DOS at the Fermi energy = 2.3 states/eV per cell
SG = No. 107
E_form = -0.260 eV per atom
Uncorrected energy = -2.37 eV/atom

# 5
CsKReBr6 | PBE-GGA | relaxed

a = 8.394 Å, b = 8.394 Å, c = 11.659 Å
α = 90.00°, β = 90.00°, γ = 120.00°
Site moments in Bohr magnetons follow the coordinates.
Positions (direct):
Cs  0.333  0.667  0.250  0.01
Cs  0.667  0.333  0.750  0.01
K  0.000  0.000  0.000  0.00
K  0.000  0.000  0.500  0.00
Re  0.667  0.333  0.250  2.22
Re  0.333  0.667  0.750  2.22
Br  0.678  0.584  0.122  0.05
Br  0.906  0.322  0.122  0.05
Br  0.322  0.906  0.622  0.05
Br  0.094  0.678  0.878  0.05
Br  0.416  0.322  0.378  0.05
Br  0.906  0.584  0.378  0.05
Br  0.584  0.906  0.878  0.05
Br  0.678  0.094  0.378  0.05
Br  0.094  0.416  0.622  0.05
Br  0.416  0.094  0.122  0.05
Br  0.584  0.678  0.622  0.05
Br  0.322  0.416  0.878  0.05

ΔE_f (raw) = -935 meV/atom
SG = No. 163
Uncorrected energy = -3.65 eV/atom

# 6
LiHgSe2 | PBE-GGA | relaxed

a = 5.566 Å, b = 4.896 Å, c = 4.281 Å
α = 75.35°, β = 71.09°, γ = 115.26°
Positions (direct):
Hg  0.000  0.500  0.500
Li  0.500  0.500  0.000
Se  0.000  0.000  0.000
Se  0.500  0.000  0.500

DOS at the Fermi energy = 0.9 states/eV per cell
ΔE_f (raw) = -345 meV/atom
SG = No. 12
Uncorrected energy = -2.64 eV/atom

# 7
TcPb2 | PBE-GGA | relaxed

a = 6.088 Å, b = 6.088 Å, c = 8.370 Å
α = 70.53°, β = 70.53°, γ = 31.07°
Positions (direct):
Tc  0.828  0.828  0.018
Tc  0.172  0.172  0.982
Pb  0.530  0.530  0.784
Pb  0.184  0.184  0.332
Pb  0.816  0.816  0.668
Pb  0.470  0.470  0.216

DOS at the Fermi energy = 4.4 states/eV per cell
SG = No. 12
E_form = 0.407 eV per atom
Uncorrected energy = -5.52 eV/atom

# 8
Zr3TiZn3 | PBE-GGA | relaxed

a = 5.657 Å, b = 5.576 Å, c = 5.657 Å
α = 109.18°, β = 109.76°, γ = 109.18°
Positions (direct):
Zr  0.613  0.565  0.000
Zr  0.387  0.951  0.387
Zr  0.000  0.565  0.613
Ti  0.000  0.289  0.000
Zn  0.523  0.059  0.000
Zn  0.477  0.537  0.477
Zn  0.000  0.059  0.523

DOS at the Fermi energy = 6.9 states/eV per cell
SG = No. 160
E_form = -0.022 eV per atom
Uncorrected energy = -5.36 eV/atom

- Which of these has the highest uncorrected energy?
  PmZnHg